No. 1
# SmSn2Ru, relaxed, DFT PBE
# ΔE_f ... -0.32 eV/atom
data_SmSn2Ru
_chemical_formula_sum 'Sm1 Sn2 Ru1'
_symmetry_space_group_name_H-M 'P 4/m m m'
_symmetry_Int_Tables_number 123
_symmetry_space_group_name_Hall '-P 4 2'
_cell_length_a 3.345
_cell_length_b 3.345
_cell_length_c 7.734
_cell_angle_alpha 90.00
_cell_angle_beta 90.00
_cell_angle_gamma 90.00
loop_
_atom_site_label
_atom_site_fract_x
_atom_site_fract_y
_atom_site_fract_z
Sm1 0.000 0.000 0.000
Sn1 0.500 0.500 0.296
Ru1 0.000 0.000 0.500

***

No. 2
# SmSn12Ru4, relaxed, DFT PBE
# ΔE_f ... -0.03 eV/atom
data_SmSn12Ru4
_chemical_formula_sum 'Sm2 Sn24 Ru8'
_symmetry_space_group_name_H-M 'I m -3'
_symmetry_Int_Tables_number 204
_symmetry_space_group_name_Hall '-I 2 2 3'
_cell_length_a 9.498
_cell_length_b 9.498
_cell_length_c 9.498
_cell_angle_alpha 90.00
_cell_angle_beta 90.00
_cell_angle_gamma 90.00
loop_
_atom_site_label
_atom_site_fract_x
_atom_site_fract_y
_atom_site_fract_z
Sm1 0.000 0.000 0.000
Sn1 0.000 0.331 0.164
Ru1 0.250 0.250 0.250

***

No. 3
# Sm6Sn2Ru, relaxed, DFT PBE
# ΔE_f ... -0.34 eV/atom
data_Sm6Sn2Ru
_chemical_formula_sum 'Sm12 Sn4 Ru2'
_symmetry_space_group_name_H-M 'I m m m'
_symmetry_Int_Tables_number 71
_symmetry_space_group_name_Hall '-I 2 2'
_cell_length_a 5.389
_cell_length_b 7.209
_cell_length_c 14.850
_cell_angle_alpha 90.00
_cell_angle_beta 90.00
_cell_angle_gamma 90.00
loop_
_atom_site_label
_atom_site_fract_x
_atom_site_fract_y
_atom_site_fract_z
Sm1 0.000 0.226 0.000
Sm2 0.000 0.253 0.351
Sn1 0.000 0.500 0.173
Ru1 0.000 0.500 0.500

***

No. 4
# SmSn2Ru, relaxed, DFT PBE
# ΔE_f ... -0.50 eV/atom
data_SmSn2Ru
_chemical_formula_sum 'Sm8 Sn16 Ru8'
_symmetry_space_group_name_H-M 'P n m a'
_symmetry_Int_Tables_number 62
_symmetry_space_group_name_Hall '-P 2ac 2n'
_cell_length_a 16.525
_cell_length_b 7.411
_cell_length_c 5.906
_cell_angle_alpha 90.00
_cell_angle_beta 90.00
_cell_angle_gamma 90.00
loop_
_atom_site_label
_atom_site_fract_x
_atom_site_fract_y
_atom_site_fract_z
Sm1 0.106 0.250 0.245
Sm2 0.144 0.750 0.472
Sn1 0.036 0.046 0.745
Sn2 0.213 0.548 0.983
Ru1 0.072 0.750 0.003
Ru2 0.176 0.250 0.727

***

Number 1: M_tot 0.0 μB per cell, D(E_F) 4.8 states/eV/cell. Number 2: M_tot 0.0 μB per cell, D(E_F) 25.9 states/eV/cell. Number 3: M_tot 0.0 μB per cell, D(E_F) 16.5 states/eV/cell. Number 4: M_tot 0.0 μB per cell, D(E_F) 18.3 states/eV/cell.